Entry 1:
First-principles (PBE-GGA) data for a geometry-optimized Sr4PtSe structure, as listed in Alexandria.

Computed properties:
VASP energy	-2.415	eV per atom
N(E_F)	6.01	states/eV/cell
calculated density	4.892	Mg/m³

abc: 6.693 6.693 6.693
angles: 60.00 60.00 60.00
Fractional coordinates of all 6 atoms:
Sr 0.375 0.874 0.375
Sr 0.375 0.375 0.375
Sr 0.375 0.375 0.874
Sr 0.874 0.375 0.375
Se 0.000 0.000 0.000
Pt 0.750 0.750 0.750

***

Entry 2:
First-principles (PBE-GGA) data for a geometry-optimized SrPtSe structure, as listed in Alexandria.

Computed properties:
VASP energy	-4.806	eV per atom
N(E_F)	0.00	states/eV/cell
calculated density	7.279	Mg/m³

abc: 5.386 8.806 4.515
angles: 104.85 114.76 58.15
Fractional coordinates of all 6 atoms:
Se 0.632 0.040 0.706
Se 0.545 0.620 0.952
Sr 0.028 0.434 0.600
Sr 0.149 0.909 0.399
Pt 0.738 0.292 0.884
Pt 0.408 0.104 0.126

***

Entry 3:
First-principles (PBE-GGA) data for a geometry-optimized SrPt2Se2 structure, as listed in Alexandria.

Computed properties:
VASP energy	-4.671	eV per atom
N(E_F)	3.29	states/eV/cell
calculated density	9.751	Mg/m³

abc: 4.273 4.273 6.654
angles: 71.27 71.27 90.00
Fractional coordinates of all 5 atoms:
Sr 0.000 0.000 0.000
Se 0.377 0.377 0.246
Se 0.623 0.623 0.754
Pt 0.250 0.750 0.500
Pt 0.750 0.250 0.500

***

Entry 4:
First-principles (PBE-GGA) data for a geometry-optimized SrPt2Se2 structure, as listed in Alexandria.

Computed properties:
VASP energy	-4.813	eV per atom
N(E_F)	2.87	states/eV/cell
calculated density	9.508	Mg/m³

abc: 4.919 4.919 5.758
angles: 64.71 64.71 90.00
Fractional coordinates of all 5 atoms:
Pt 0.659 0.659 0.682
Pt 0.341 0.341 0.318
Se 0.750 0.250 0.500
Se 0.250 0.750 0.500
Sr 0.000 0.000 0.000

***

Entry 5:
First-principles (PBE-GGA) data for a geometry-optimized SrPtSe structure, as listed in Alexandria.

Computed properties:
VASP energy	-4.883	eV per atom
N(E_F)	0.00	states/eV/cell
calculated density	7.153	Mg/m³

abc: 4.848 4.371 7.924
angles: 90.00 90.00 90.07
Fractional coordinates of all 6 atoms:
Pt 0.478 0.716 0.711
Pt 0.478 0.716 0.211
Se 0.773 0.715 0.961
Se 0.183 0.718 0.461
Sr 0.254 0.215 0.961
Sr 0.702 0.217 0.461

***

Entry 6:
First-principles (PBE-GGA) data for a geometry-optimized SrPtSe structure, as listed in Alexandria.

Computed properties:
VASP energy	-4.884	eV per atom
N(E_F)	0.25	states/eV/cell
calculated density	8.370	Mg/m³

abc: 4.437 4.437 4.209
angles: 90.00 90.00 120.00
Fractional coordinates of all 3 atoms:
Se 0.333 0.667 0.167
Pt 0.000 0.000 0.167
Sr 0.667 0.333 0.667

***

Entry 7:
First-principles (PBE-GGA) data for a geometry-optimized SrPt3Se structure, as listed in Alexandria.

Computed properties:
VASP energy	-4.915	eV per atom
N(E_F)	0.10	states/eV/cell
calculated density	11.094	Mg/m³

abc: 4.828 4.828 4.828
angles: 90.00 90.00 90.00
Fractional coordinates of all 5 atoms:
Pt 0.000 0.000 0.500
Pt 0.000 0.500 0.000
Pt 0.500 0.000 0.000
Sr 0.500 0.500 0.500
Se 0.000 0.000 0.000

***

Entry 8:
First-principles (PBE-GGA) data for a geometry-optimized SrPtSe structure, as listed in Alexandria.

Computed properties:
VASP energy	-4.459	eV per atom
N(E_F)	0.37	states/eV/cell
calculated density	7.659	Mg/m³

abc: 5.353 5.353 5.353
angles: 133.87 133.86 67.29
Fractional coordinates of all 3 atoms:
Se 0.306 0.306 0.000
Sr 0.657 0.657 0.000
Pt 0.037 0.037 0.000

***

Entry 9:
First-principles (PBE-GGA) data for a geometry-optimized SrPt2Se structure, as listed in Alexandria.

Computed properties:
VASP energy	-4.612	eV per atom
N(E_F)	1.89	states/eV/cell
calculated density	11.333	Mg/m³

abc: 5.384 5.384 5.384
angles: 133.15 133.15 68.41
Fractional coordinates of all 4 atoms:
Pt 0.250 0.750 0.500
Pt 0.000 0.000 0.000
Se 0.500 0.500 0.000
Sr 0.750 0.250 0.500

***

Entry 10:
First-principles (PBE-GGA) data for a geometry-optimized Sr2TePtSe structure, as listed in Alexandria.

Computed properties:
VASP energy	-4.110	eV per atom
N(E_F)	1.70	states/eV/cell
calculated density	5.447	Mg/m³

abc: 5.969 4.936 5.969
angles: 90.00 90.00 90.00
Fractional coordinates of all 5 atoms:
Sr 0.500 0.000 0.000
Sr 0.000 0.000 0.500
Te 0.000 0.500 0.000
Se 0.500 0.500 0.500
Pt 0.000 0.000 0.000

***

Entry 11:
First-principles (PBE-GGA) data for a geometry-optimized SrZnPt2Se structure, as listed in Alexandria.

Computed properties:
VASP energy	-2.384	eV per atom
N(E_F)	4.80	states/eV/cell
calculated density	6.686	Mg/m³

abc: 5.318 5.464 5.318
angles: 90.00 90.00 90.00
Fractional coordinates of all 5 atoms:
Zn 0.000 0.500 0.000
Pt 0.500 0.000 0.000
Pt 0.000 0.000 0.500
Sr 0.000 0.000 0.000
Se 0.500 0.500 0.500

***

Entry 12:
First-principles (PBE-GGA) data for a geometry-optimized TaPtSe2 structure, as listed in Alexandria.

Computed properties:
VASP energy	-6.152	eV per atom
N(E_F)	4.63	states/eV/cell
calculated density	12.810	Mg/m³

abc: 4.609 4.609 4.609
angles: 60.00 60.00 60.00
Fractional coordinates of all 4 atoms:
Se 0.750 0.750 0.750
Se 0.250 0.250 0.250
Pt 0.500 0.500 0.500
Ta 0.000 0.000 0.000

***

Entry 13:
First-principles (PBE-GGA) data for a geometry-optimized Ta2PtSe structure, as listed in Alexandria.

Computed properties:
VASP energy	-8.403	eV per atom
N(E_F)	2.83	states/eV/cell
calculated density	14.811	Mg/m³

abc: 4.269 4.269 6.083
angles: 79.97 79.97 40.87
Fractional coordinates of all 4 atoms:
Pt 0.750 0.750 0.750
Se 0.250 0.250 0.250
Ta 0.996 0.996 0.011
Ta 0.504 0.504 0.489

***

Entry 14:
First-principles (PBE-GGA) data for a geometry-optimized Ta2PtSe structure, as listed in Alexandria.

Computed properties:
VASP energy	-7.995	eV per atom
N(E_F)	7.80	states/eV/cell
calculated density	10.731	Mg/m³

abc: 5.910 5.910 7.015
angles: 65.09 65.09 90.00
Fractional coordinates of all 8 atoms:
Se 0.500 0.500 0.000
Se 0.250 0.750 0.500
Ta 0.875 0.885 0.750
Ta 0.635 0.125 0.250
Ta 0.375 0.365 0.750
Ta 0.115 0.625 0.250
Pt 0.750 0.250 0.500
Pt 0.000 0.000 0.000

***

Entry 15:
First-principles (PBE-GGA) data for a geometry-optimized TaPtSe2 structure, as listed in Alexandria.

Computed properties:
VASP energy	-5.983	eV per atom
N(E_F)	3.69	states/eV/cell
calculated density	11.606	Mg/m³

abc: 4.735 3.937 4.109
angles: 85.82 90.00 90.00
Fractional coordinates of all 4 atoms:
Se 0.000 0.479 0.484
Se 0.000 0.021 0.016
Ta 0.500 0.250 0.250
Pt 0.500 0.750 0.750

***

Entry 16:
First-principles (PBE-GGA) data for a geometry-optimized TaPtSe structure, as listed in Alexandria.

Computed properties:
VASP energy	-7.481	eV per atom
N(E_F)	1.74	states/eV/cell
calculated density	12.709	Mg/m³

abc: 3.139 3.560 5.320
angles: 90.00 90.00 90.00
Fractional coordinates of all 3 atoms:
Ta 0.000 0.500 0.815
Se 0.500 0.500 0.441
Pt 0.500 0.000 0.067

***

Entry 17:
First-principles (PBE-GGA) data for a geometry-optimized TaPtSe2 structure, as listed in Alexandria.

Computed properties:
VASP energy	-6.482	eV per atom
N(E_F)	2.57	states/eV/cell
calculated density	10.877	Mg/m³

abc: 3.036 3.036 8.841
angles: 90.00 90.00 90.00
Fractional coordinates of all 4 atoms:
Se 0.500 0.500 0.330
Se 0.000 0.000 0.945
Ta 0.000 0.000 0.509
Pt 0.500 0.500 0.716

***

Entry 18:
First-principles (PBE-GGA) data for a geometry-optimized TaPtSe2 structure, as listed in Alexandria.

Computed properties:
VASP energy	-6.613	eV per atom
N(E_F)	2.66	states/eV/cell
calculated density	8.941	Mg/m³

abc: 3.821 3.929 6.696
angles: 80.53 90.00 90.00
Fractional coordinates of all 4 atoms:
Se 0.500 0.287 0.344
Se 0.000 0.944 0.897
Pt 0.500 0.850 0.664
Ta 0.000 0.419 0.594

***

Entry 19:
First-principles (PBE-GGA) data for a geometry-optimized TaPtSe2 structure, as listed in Alexandria.

Computed properties:
VASP energy	-6.339	eV per atom
N(E_F)	3.02	states/eV/cell
calculated density	12.875	Mg/m³

abc: 3.286 3.286 6.380
angles: 90.00 90.00 90.00
Fractional coordinates of all 4 atoms:
Pt 0.500 0.500 0.750
Ta 0.500 0.500 0.250
Se 0.000 0.000 0.016
Se 0.000 0.000 0.484

***

Entry 20:
First-principles (PBE-GGA) data for a geometry-optimized Ta2Pt4Se structure, as listed in Alexandria.

Computed properties:
VASP energy	-6.741	eV per atom
N(E_F)	7.40	states/eV/cell
calculated density	13.535	Mg/m³

abc: 4.895 4.895 7.147
angles: 69.97 69.97 90.00
Fractional coordinates of all 7 atoms:
Ta 0.604 0.604 0.792
Ta 0.396 0.396 0.208
Pt 0.801 0.801 0.398
Pt 0.199 0.199 0.602
Pt 0.000 0.500 0.000
Pt 0.500 0.000 0.000
Se 0.000 0.000 0.000